{
  "formula": "TbDyScHg",
  "functional": "GGA-PBE",
  "state": "relaxed",
  "magmom_total_mub_per_cell": 0.606,
  "volume_a3_per_cell": 106.1,
  "formation_enthalpy_0k_kj_per_mol_fu": -32,
  "rho_g_cm3": 8.87,
  "lattice": [[0.0000, 3.7578, 3.7578], [3.7578, 0.0000, 3.7578], [3.7578, 3.7578, 0.0000]],
  "species": ["Tb", "Dy", "Sc", "Hg"],
  "frac_coords": [[0.0000, 0.0000, 0.0000], [0.5000, 0.5000, 0.5000], [0.7500, 0.7500, 0.7500], [0.2500, 0.2500, 0.2500]]
}


{
  "formula": "DyScTcHg",
  "functional": "GGA-PBE",
  "state": "relaxed",
  "magmom_total_mub_per_cell": 0.000,
  "volume_a3_per_cell": 83.4,
  "formation_enthalpy_0k_kj_per_mol_fu": -71,
  "rho_g_cm3": 10.08,
  "lattice": [[0.0000, 3.4671, 3.4671], [3.4671, 0.0000, 3.4671], [3.4671, 3.4671, 0.0000]],
  "species": ["Dy", "Sc", "Tc", "Hg"],
  "frac_coords": [[0.0000, 0.0000, 0.0000], [0.5000, 0.5000, 0.5000], [0.2500, 0.2500, 0.2500], [0.7500, 0.7500, 0.7500]]
}